(1)
Material: NaLi3Nb
Method: DFT, PBE
State: relaxed

Unit cell a=4.6519 b=4.6519 c=4.6519 alpha=90.00 beta=90.00 gamma=90.00
Closest atoms and distances in Å follow each position.
Space group Pm-3m (No. 221)
Inequivalent atoms, fractional coordinates:
Na 0.0000 0.0000 0.0000 (multiplicity 1)  6 Li 2.33
Li 0.0000 0.0000 0.5000 (multiplicity 3)  2 Na 2.33
Nb 0.5000 0.5000 0.5000 (multiplicity 1)  12 Li 3.29

Computed properties:
Magnetic moment (μB/cell): 3.00
ΔH_f (0 K) (eV/atom): 0.9959
VASP energy (eV/cell): -12.151
Excess energy over the best structure of this formula in the dataset (meV per atom): 0

---

(2)
Material: Ta2NiPd9
Method: DFT, PBE
State: relaxed

Unit cell a=3.9543 b=3.9543 c=11.7612 alpha=90.00 beta=90.00 gamma=90.00
Closest atoms and distances in Å follow each position.
Space group P4/mmm (No. 123)
Inequivalent atoms, fractional coordinates:
Ta 0.0000 0.0000 0.1782 (multiplicity 2)  12 Pd 2.68-2.88
Ni 0.0000 0.0000 0.5000 (multiplicity 1)  12 Pd 2.79-2.80
Pd 0.0000 0.5000 0.0000 (multiplicity 2)  8 Pd 2.77-2.80, 4 Ta 2.88
Pd 0.0000 0.5000 0.3325 (multiplicity 4)  2 Ta 2.68, 8 Pd 2.79-2.80, 2 Ni 2.79
Pd 0.5000 0.5000 0.1653 (multiplicity 2)  8 Pd 2.77-2.79, 4 Ta 2.80
Pd 0.5000 0.5000 0.5000 (multiplicity 1)  8 Pd 2.79, 4 Ni 2.80

Computed properties:
Magnetic moment (μB/cell): 0.99
ΔH_f (0 K) (eV/atom): -0.3327
VASP energy (eV/cell): -80.214

---

(3)
Material: La6CoSn2
Method: DFT, PBE
State: relaxed

Unit cell a=7.3292 b=7.3292 c=10.3551 alpha=90.00 beta=90.00 gamma=90.00
Closest atoms and distances in Å follow each position.
Space group P4/mnc (No. 128)
Inequivalent atoms, fractional coordinates:
La 0.0000 0.0000 0.2480 (multiplicity 4)  1 Co 2.61
La 0.2447 0.2458 0.0000 (multiplicity 8)  1 Co 2.64
Co 0.0000 0.0000 0.5000 (multiplicity 2)  6 La 2.61-2.64
Sn 0.0000 0.5000 0.2500 (multiplicity 4)  12 La 3.66-3.67

Computed properties:
Magnetic moment (μB/cell): 0.00
ΔH_f (0 K) (eV/atom): -0.4738
VASP energy (eV/cell): -97.881

---

(4)
Material: Ca4PmU3N8
Method: DFT, PBE
State: relaxed

Unit cell a=7.0403 b=7.0403 c=17.1374 alpha=90.00 beta=90.00 gamma=120.00
Closest atoms and distances in Å follow each position.
Space group R-3m (No. 166, hexagonal axes)
Inequivalent atoms, fractional coordinates:
Ca 0.0000 0.0000 0.0000 (multiplicity 3)  6 N 2.50
Ca 0.0000 0.5000 0.0000 (multiplicity 9)  6 N 2.60-2.66
Pm 0.0000 0.0000 0.5000 (multiplicity 3)  6 N 2.49
U 0.0000 0.5000 0.5000 (multiplicity 9)  6 N 2.32-2.38
N 0.0000 0.0000 0.2388 (multiplicity 6)  3 U 2.38, 3 Ca 2.60
N 0.0223 0.5111 0.7621 (multiplicity 18)  2 U 2.32, 1 Pm 2.49, 1 Ca 2.50

Computed properties:
ΔE_f (raw) (meV per atom): -1306
Magnetic moment (μB/cell): 14.21
VASP energy (eV/cell): -402.380

---

(5)
Material: Sm6HoIn3
Method: DFT, PBE
State: relaxed

Unit cell a=10.4676 b=5.1528 c=11.2844 alpha=90.00 beta=96.22 gamma=90.00
Closest atoms and distances in Å follow each position.
Space group P2_1/m (No. 11)
Inequivalent atoms, fractional coordinates:
Sm 0.0451 0.2500 0.4029 (multiplicity 2)  7 In 3.31-3.54, 3 Sm 3.58-3.66
Sm 0.1346 0.7500 0.1898 (multiplicity 2)  5 In 3.27-3.40, 2 Sm 3.54, 1 Ho 3.60
Sm 0.2272 0.2500 0.9840 (multiplicity 2)  4 In 3.30-3.34, 5 Sm 3.48-3.67, 3 Ho 3.56-3.61
Sm 0.3252 0.7500 0.7814 (multiplicity 2)  4 In 3.28-3.45, 5 Sm 3.49-3.66, 3 Ho 3.62-3.66
Sm 0.3556 0.2500 0.2812 (multiplicity 2)  8 Sm 3.48-3.66, 2 Ho 3.55, 2 In 3.62
Sm 0.4344 0.2500 0.5906 (multiplicity 2)  4 In 3.37-3.44, 7 Sm 3.50-3.65, 1 Ho 3.64
Ho 0.4517 0.7500 0.0933 (multiplicity 2)  2 Ho 3.54, 10 Sm 3.55-3.66
In 0.0472 0.7500 0.8906 (multiplicity 2)  8 Sm 3.27-3.40, 2 In 3.63
In 0.1430 0.2500 0.6915 (multiplicity 2)  8 Sm 3.30-3.37, 2 In 3.63
In 0.2528 0.7500 0.4753 (multiplicity 2)  10 Sm 3.32-3.62

Computed properties:
Magnetic moment (μB/cell): 0.00
ΔH_f (0 K) (eV/atom): -0.2627
VASP energy (eV/cell): -87.469
Excess energy over the best structure of this formula in the dataset (meV per atom): 0

---

(6)
Material: NiSb2Pd
Method: DFT, PBE
State: relaxed

Unit cell a=3.3389 b=3.3389 c=26.5798 alpha=90.00 beta=90.00 gamma=120.00
Closest atoms and distances in Å follow each position.
Space group R-3m (No. 166, hexagonal axes)
Inequivalent atoms, fractional coordinates:
Ni 0.0000 0.0000 0.0000 (multiplicity 3)  2 Sb 2.43
Sb 0.0000 0.0000 0.0913 (multiplicity 6)  1 Ni 2.43
Pd 0.0000 0.0000 0.5000 (multiplicity 3)  6 Sb 2.78

Computed properties:
ΔE_f (raw) (meV per atom): 160
Magnetic moment (μB/cell): 0.01
VASP energy (eV/cell): -55.743

---

(7)
Material: MgCdGaRu2
Method: DFT, PBE
State: relaxed

Unit cell a=4.6233 b=4.6233 c=4.7677 alpha=90.00 beta=90.00 gamma=90.00
Closest atoms and distances in Å follow each position.
Space group P4/mmm (No. 123)
Inequivalent atoms, fractional coordinates:
Mg 0.0000 0.0000 0.0000 (multiplicity 1)  4 Ru 2.31, 2 Cd 2.38
Cd 0.0000 0.0000 0.5000 (multiplicity 1)  2 Mg 2.38
Ga 0.5000 0.5000 0.5000 (multiplicity 1)  4 Cd 3.27, 8 Ru 3.32
Ru 0.0000 0.5000 0.0000 (multiplicity 2)  2 Mg 2.31

Computed properties:
Magnetic moment (μB/cell): 1.87
ΔH_f (0 K) (eV/atom): 1.3280
VASP energy (eV/cell): -17.448

---

(8)
Material: SmDy3Pd4
Method: DFT, PBE
State: relaxed

Unit cell a=4.9827 b=4.9827 c=24.5251 alpha=90.00 beta=90.00 gamma=120.00
Closest atoms and distances in Å follow each position.
Space group R-3m (No. 166, hexagonal axes)
Inequivalent atoms, fractional coordinates:
Sm 0.0000 0.0000 0.0000 (multiplicity 3)  8 Pd 3.08-3.11
Dy 0.0000 0.0000 0.2494 (multiplicity 6)  8 Pd 3.00-3.16
Dy 0.0000 0.0000 0.5000 (multiplicity 3)  8 Pd 2.99-3.04
Pd 0.0000 0.0000 0.1269 (multiplicity 6)  7 Dy 3.00-3.06, 1 Sm 3.11
Pd 0.0000 0.0000 0.3782 (multiplicity 6)  5 Dy 2.99-3.16, 3 Sm 3.08

Computed properties:
Magnetic moment (μB/cell): 0.00
ΔH_f (0 K) (eV/atom): -0.8622
VASP energy (eV/cell): -138.583

---

(9)
Material: Mn2TcSe
Method: DFT, PBE
State: relaxed

Unit cell a=2.9197 b=4.2479 c=4.3878 alpha=90.00 beta=90.00 gamma=90.00
Closest atoms and distances in Å follow each position.
Space group Pmm2 (No. 25)
Inequivalent atoms, fractional coordinates:
Mn 0.0000 0.0000 0.0000 (multiplicity 1)  2 Mn 2.45, 4 Tc 2.60-2.67, 4 Se 2.68
Mn 0.0000 0.5000 0.2798 (multiplicity 1)  2 Se 2.44, 2 Mn 2.45
Tc 0.5000 0.0000 0.4909 (multiplicity 1)  2 Se 2.60, 8 Mn 2.60-2.74
Se 0.5000 0.5000 0.8334 (multiplicity 1)  6 Mn 2.44-2.68, 2 Tc 2.60

Computed properties:
ΔE_f (raw) (meV per atom): 227
Magnetic moment (μB/cell): 3.25
VASP energy (eV/cell): -31.283

---

(10)
Material: SiHgRh2
Method: DFT, PBE
State: relaxed

Unit cell a=2.9987 b=3.0906 c=14.3537 alpha=90.00 beta=90.00 gamma=90.00
Closest atoms and distances in Å follow each position.
Space group Imm2 (No. 44)
Inequivalent atoms, fractional coordinates:
Si 0.0000 0.0000 0.0000 (multiplicity 2)  6 Rh 2.30-2.41
Hg 0.0000 0.5000 0.7557 (multiplicity 2)  6 Rh 2.85-2.91, 4 Hg 3.00-3.09
Rh 0.0000 0.0000 0.4250 (multiplicity 2)  4 Si 2.41
Rh 0.0000 0.5000 0.1190 (multiplicity 2)  2 Si 2.30

Computed properties:
ΔE_f (raw) (meV per atom): -346
Magnetic moment (μB/cell): 0.00
VASP energy (eV/cell): -43.626
Excess energy over the best structure of this formula in the dataset (meV per atom): 128

---

(11)
Material: LiTbBi2S5
Method: DFT, PBE
State: relaxed

Unit cell a=4.0010 b=17.7310 c=12.9372 alpha=90.00 beta=90.00 gamma=90.00
Closest atoms and distances in Å follow each position.
Space group Cmc2_1 (No. 36)
Inequivalent atoms, fractional coordinates:
Li 0.0000 0.0045 0.0000 (multiplicity 4)  4 S 2.42-2.53
Tb 0.0000 0.2917 0.0015 (multiplicity 4)  6 S 2.71-2.80
Bi 0.0000 0.3494 0.7038 (multiplicity 4)  3 S 2.61-2.74
Bi 0.0000 0.4063 0.2519 (multiplicity 4)  3 S 2.58-2.68
S 0.0000 0.9996 0.3047 (multiplicity 4)  1 Li 2.53, 2 Bi 2.68
S 0.0000 0.1394 0.0595 (multiplicity 4)  1 Li 2.51, 2 Bi 2.74, 1 Tb 2.80
S 0.0000 0.2072 0.6534 (multiplicity 4)  1 Bi 2.61, 2 Tb 2.80
S 0.0000 0.2080 0.3602 (multiplicity 4)  2 Tb 2.71, 2 Bi 3.02
S 0.0000 0.4410 0.0585 (multiplicity 4)  2 Li 2.42, 1 Bi 2.58

Computed properties:
ΔE_f (raw) (meV per atom): -971
Magnetic moment (μB/cell): 0.00
VASP energy (eV/cell): -174.725

---

(12)
Material: PmPt4
Method: DFT, PBE
State: relaxed

Unit cell a=9.2277 b=9.2277 c=9.2277 alpha=90.00 beta=90.00 gamma=90.00
Closest atoms and distances in Å follow each position.
Space group I-43m (No. 217)
Inequivalent atoms, fractional coordinates:
Pm 0.2222 0.2222 0.7778 (multiplicity 8)  1 Pt 2.75
Pt 0.0000 0.0000 0.3480 (multiplicity 12)  7 Pt 2.63-2.81
Pt 0.0000 0.2500 0.5000 (multiplicity 12)  4 Pt 2.70
Pt 0.1058 0.1058 0.1058 (multiplicity 8)  6 Pt 2.63-2.76, 1 Pm 2.75

Computed properties:
Magnetic moment (μB/cell): 0.00
ΔH_f (0 K) (eV/atom): -0.5875
VASP energy (eV/cell): -254.812
Excess energy over the best structure of this formula in the dataset (meV per atom): 123

---

(13)
Material: LaN
Method: DFT, PBE
State: relaxed

Unit cell a=4.1278 b=4.1278 c=5.9810 alpha=90.00 beta=90.00 gamma=120.00
Closest atoms and distances in Å follow each position.
Space group P6_3mc (No. 186)
Inequivalent atoms, fractional coordinates:
La 0.3333 0.6667 0.0000 (multiplicity 2)  4 N 2.44-2.46
N 0.3333 0.6667 0.5885 (multiplicity 2)  4 La 2.44-2.46

Computed properties:
ΔE_f (raw) (meV per atom): -1330
Magnetic moment (μB/cell): 0.00
VASP energy (eV/cell): -31.825

---

(14)
Material: LiHg6Pb12
Method: DFT, PBE
State: relaxed

Unit cell a=15.0315 b=15.0315 c=8.4056 alpha=90.00 beta=90.00 gamma=120.00
Closest atoms and distances in Å follow each position.
Space group R-3 (No. 148, hexagonal axes)
Inequivalent atoms, fractional coordinates:
Li 0.0000 0.0000 0.0000 (multiplicity 3)  6 Hg 3.30, 6 Pb 3.39
Hg 0.0174 0.8861 0.6756 (multiplicity 18)  4 Hg 3.22-3.49, 1 Li 3.30, 5 Pb 3.35-3.42
Pb 0.0357 0.7604 0.3508 (multiplicity 18)  4 Hg 3.38-3.64, 8 Pb 3.39-3.57
Pb 0.0747 0.5123 0.6634 (multiplicity 18)  3 Hg 3.35-3.62, 1 Li 3.39, 8 Pb 3.39-3.57

Computed properties:
Magnetic moment (μB/cell): 0.00
ΔH_f (0 K) (eV/atom): -0.0002
VASP energy (eV/cell): -144.687

---

(15)
Material: TiFe3Se
Method: DFT, PBE
State: relaxed

Unit cell a=4.4205 b=4.4205 c=4.4205 alpha=90.00 beta=90.00 gamma=90.00
Closest atoms and distances in Å follow each position.
Space group Pm-3m (No. 221)
Inequivalent atoms, fractional coordinates:
Ti 0.0000 0.0000 0.0000 (multiplicity 1)  6 Fe 2.21
Fe 0.0000 0.0000 0.5000 (multiplicity 3)  2 Ti 2.21
Se 0.5000 0.5000 0.5000 (multiplicity 1)  12 Fe 3.13

Computed properties:
ΔE_f (raw) (meV per atom): 1145
Magnetic moment (μB/cell): 5.86
VASP energy (eV/cell): -31.043
Excess energy over the best structure of this formula in the dataset (meV per atom): 577

---

(16)
Material: BPRhC
Method: DFT, PBE
State: relaxed

Unit cell a=3.2456 b=3.2456 c=5.2919 alpha=90.00 beta=90.00 gamma=120.00
Closest atoms and distances in Å follow each position.
Space group P3m1 (No. 156)
Inequivalent atoms, fractional coordinates:
B 0.0000 0.0000 0.0000 (multiplicity 1)  1 C 1.61
P 0.3333 0.6667 0.1300 (multiplicity 1)  3 B 2.00
Rh 0.3333 0.6667 0.5729 (multiplicity 1)  3 C 1.98
C 0.0000 0.0000 0.6954 (multiplicity 1)  1 B 1.61

Computed properties:
Magnetic moment (μB/cell): 0.00
ΔH_f (0 K) (eV/atom): 0.1453
VASP energy (eV/cell): -28.081
Excess energy over the best structure of this formula in the dataset (meV per atom): 98

---

no.,D(E_F) (states/eV/f.u.)
1,3.164
2,9.224
3,7.048
4,10.494
5,11.862
6,3.062
7,6.284
8,5.321
9,4.165
10,1.427
11,0.000
12,5.505
13,0.000
14,10.453
15,5.360
16,0.749